# NbSnPt

A relaxed structure of NbSnPt (PBE-GGA, the Alexandria database).

Unit cell a=3.0147 b=3.2402 c=13.1319 alpha=90.00 beta=90.00 gamma=117.72
Fractional coordinates of all 6 atoms:
Pt (0.5923, 0.1845, 0.0000)
Pt (0.2858, 0.5716, 0.5000)
Sn (0.6098, 0.2196, 0.3371)
Sn (0.6098, 0.2196, 0.6629)
Nb (0.2845, 0.5690, 0.8404)
Nb (0.2845, 0.5690, 0.1596)

Output
As for the density of states at the Fermi level: 0.543 states/eV/atom. Its formation enthalpy at 0 K is -0.134 eV per atom. For the volume, the calculation gives 18.925 Å³ per atom. As for the space group: Amm2.